# 1
Entry from Alexandria via LeMat-Bulk: an optimized crystal structure of Hf3TlH (PBE-GGA).

Unit cell a=4.4498 b=4.4498 c=4.4498 alpha=90.00 beta=90.00 gamma=90.00
Sites, in units of the cell vectors:
Tl 0.5000 0.5000 0.5000
H 0.0000 0.0000 0.0000
Hf 0.0000 0.0000 0.5000
Hf 0.0000 0.5000 0.0000
Hf 0.5000 0.0000 0.0000

Output
The crystal system is cubic.

# 2
Entry from Alexandria via LeMat-Bulk: an optimized crystal structure of Hf3TlH (PBE-GGA).

Unit cell a=5.6751 b=5.6751 c=6.1274 alpha=89.99 beta=89.99 gamma=114.47
Sites, in units of the cell vectors:
Hf 0.7462 0.7462 0.5000
Hf 0.7450 0.2550 0.7500
Hf 0.2538 0.2538 0.5000
Hf 0.7462 0.7462 0.0000
Tl 0.7459 0.2541 0.2500
H 0.0435 0.9565 0.2500
H 0.9565 0.0435 0.7500
Hf 0.2538 0.2538 0.0000
Tl 0.2541 0.7459 0.7500
Hf 0.2550 0.7450 0.2500

Output
The crystal system is orthorhombic.

# 3
Entry from Alexandria via LeMat-Bulk: an optimized crystal structure of Hf8TlH6 (PBE-GGA).

Unit cell a=6.0248 b=6.0248 c=6.0248 alpha=95.50 beta=95.50 gamma=95.50
Sites, in units of the cell vectors:
Tl 0.0000 0.0000 0.0000
H 0.5225 0.4325 0.8366
Hf 0.3308 0.3308 0.3308
Hf 0.2378 0.5593 0.8979
Hf 0.1021 0.7622 0.4407
H 0.4775 0.5675 0.1634
Hf 0.8979 0.2378 0.5593
Hf 0.5593 0.8979 0.2378
Hf 0.6692 0.6692 0.6692
Hf 0.7622 0.4407 0.1021
H 0.8366 0.5225 0.4325
H 0.1634 0.4775 0.5675
Hf 0.4407 0.1021 0.7622
H 0.5675 0.1634 0.4775
H 0.4325 0.8366 0.5225

Output
The crystal system is trigonal.

# 4
Entry from Alexandria via LeMat-Bulk: an optimized crystal structure of Hf3TlH2 (PBE-GGA).

Unit cell a=3.2101 b=6.1035 c=10.1022 alpha=91.62 beta=90.00 gamma=90.00
Sites, in units of the cell vectors:
Hf 0.2500 0.0657 0.8690
Hf 0.2500 0.1401 0.3820
H 0.7500 0.5837 0.0795
Hf 0.2500 0.3708 0.1220
Hf 0.7500 0.6292 0.8780
H 0.2500 0.4163 0.9205
H 0.7500 0.9813 0.3318
H 0.2500 0.0187 0.6682
Tl 0.2500 0.6358 0.3721
Hf 0.7500 0.8599 0.6180
Hf 0.7500 0.9343 0.1310
Tl 0.7500 0.3642 0.6279

Output
The crystal system is monoclinic.

# 5
Entry from Alexandria via LeMat-Bulk: an optimized crystal structure of Hf3TlH (PBE-GGA).

Unit cell a=5.3484 b=5.3484 c=5.3484 alpha=90.00 beta=90.00 gamma=90.00
Sites, in units of the cell vectors:
Hf 0.5000 0.0000 0.0000
Hf 0.0000 0.0000 0.5000
Tl 0.0000 0.0000 0.0000
Hf 0.0000 0.5000 0.0000
H 0.5000 0.5000 0.5000

Output
The crystal system is cubic.

# 6
Entry from Alexandria via LeMat-Bulk: an optimized crystal structure of HfTlH3 (PBE-GGA).

Unit cell a=3.9161 b=3.9161 c=3.9161 alpha=90.00 beta=90.00 gamma=90.00
Sites, in units of the cell vectors:
Hf 0.0000 0.0000 0.0000
H 0.0000 0.5000 0.0000
Tl 0.5000 0.5000 0.5000
H 0.5000 0.0000 0.0000
H 0.0000 0.0000 0.5000

Output
The crystal system is cubic.

# 7
Entry from Alexandria via LeMat-Bulk: an optimized crystal structure of Hf6TlH (PBE-GGA).

Unit cell a=7.0794 b=5.4901 c=8.3982 alpha=40.08 beta=53.60 gamma=49.82
Sites, in units of the cell vectors:
Hf 0.3593 0.7929 0.7799
Hf 0.7800 0.9278 0.9323
Hf 0.2200 0.0722 0.0677
Hf 0.6407 0.2071 0.2201
Hf 0.0676 0.3532 0.3594
Tl 0.5000 0.5000 0.5000
H 0.0000 0.0000 0.0000
Hf 0.9324 0.6468 0.6406

Output
The crystal system is triclinic.

# 8
Entry from Alexandria via LeMat-Bulk: an optimized crystal structure of HfTlH2 (PBE-GGA).

Unit cell a=4.3845 b=4.3845 c=6.7473 alpha=71.04 beta=71.04 gamma=90.00
Sites, in units of the cell vectors:
Hf 0.2500 0.7500 0.5000
H 0.3750 0.5728 0.7500
Tl 0.0000 0.0000 0.0000
Hf 0.5000 0.5000 0.0000
H 0.8750 0.6772 0.7500
Tl 0.7500 0.2500 0.5000
H 0.4272 0.1250 0.2500
H 0.3228 0.6250 0.2500

Output
The crystal system is tetragonal.

# 9
Entry from Alexandria via LeMat-Bulk: an optimized crystal structure of Hf2TlH2 (PBE-GGA).

Unit cell a=3.8053 b=3.8053 c=5.5276 alpha=69.87 beta=69.87 gamma=90.00
Sites, in units of the cell vectors:
Hf 0.6667 0.6667 0.6665
Tl 0.0000 0.0000 0.0000
H 0.2500 0.7500 0.5000
H 0.7500 0.2500 0.5000
Hf 0.3333 0.3333 0.3335

Output
The crystal system is tetragonal.

# 10
Entry from Alexandria via LeMat-Bulk: an optimized crystal structure of HfTlH3 (PBE-GGA).

Unit cell a=3.9215 b=3.9215 c=3.9215 alpha=90.00 beta=90.00 gamma=90.00
Sites, in units of the cell vectors:
H 0.5000 0.0000 0.0000
H 0.0000 0.0000 0.5000
Tl 0.0000 0.0000 0.0000
Hf 0.5000 0.5000 0.5000
H 0.0000 0.5000 0.0000

Output
The crystal system is cubic.

# 11
Entry from Alexandria via LeMat-Bulk: an optimized crystal structure of HfTlH2 (PBE-GGA).

Unit cell a=4.1844 b=4.1844 c=4.1844 alpha=60.00 beta=60.00 gamma=60.00
Sites, in units of the cell vectors:
Tl 0.5000 0.5000 0.5000
Hf 0.0000 0.0000 0.0000
H 0.2500 0.2500 0.2500
H 0.7500 0.7500 0.7500

Output
The crystal system is cubic.

# 12
Entry from Alexandria via LeMat-Bulk: an optimized crystal structure of Hf2ZrTlH (PBE-GGA).

Unit cell a=4.4625 b=4.4625 c=4.4732 alpha=90.00 beta=90.00 gamma=90.00
Sites, in units of the cell vectors:
Hf 0.0000 0.5000 0.0000
H 0.0000 0.0000 0.0000
Zr 0.0000 0.0000 0.5000
Tl 0.5000 0.5000 0.5000
Hf 0.5000 0.0000 0.0000

Output
The crystal system is tetragonal.

Number 1: final energy -7.23 eV per atom. Number 2: final energy -7.23 eV per atom. Number 3: final energy -6.99 eV per atom. Number 4: final energy -6.60 eV per atom. Number 5: final energy -5.01 eV per atom. Number 6: final energy -4.45 eV per atom. Number 7: final energy -8.20 eV per atom. Number 8: final energy -4.70 eV per atom. Number 9: final energy -6.01 eV per atom. Number 10: final energy -3.49 eV per atom. Number 11: final energy -4.15 eV per atom. Number 12: final energy -6.99 eV per atom.